# CrAgF2, relaxed, DFT PBE+U
# total magnetization = 8.018 μB per cell
# D(E_F) = 0.8 states/eV per cell
# E = -4.765 eV per atom
data_CrAgF2
_chemical_formula_sum 'Cr2 Ag2 F4'
_cell_length_a 5.4094
_cell_length_b 5.4094
_cell_length_c 6.7100
_cell_angle_alpha 66.23
_cell_angle_beta 66.23
_cell_angle_gamma 90.00
_space_group_name_H-M_alt 'P 1'
_space_group_IT_number 1
_space_group_name_Hall 'P 1'
loop_
_atom_site_label
_atom_site_type_symbol
_atom_site_fract_x
_atom_site_fract_y
_atom_site_fract_z
Cr1 Cr 0.5000 0.5000 0.0000
Cr2 Cr 0.2500 0.7500 0.5000
Ag1 Ag 0.0000 0.0000 0.0000
Ag2 Ag 0.7500 0.2500 0.5000
F1 F 0.4903 0.1250 0.2500
F2 F 0.2597 0.6250 0.2500
F3 F 0.3750 0.5097 0.7500
F4 F 0.8750 0.7403 0.7500